Er2AlS, optimized geometry, DFT PBE; theoretical density = 6.2 Mg/m³; offset from the most stable computed form = 2.25 eV/f.u.; DOS at the Fermi energy = 2.8 states/eV/cell
1.0
-2.7865 -2.2943 0.1442
0.3375 -3.3379 -1.3394
2.1135 -4.9137 7.9064
S Al Er
1 1 2
Cartesian
-0.1678 -5.2730 3.3556
0.0000 0.0000 0.0000
1.1694 -3.9354 5.2305
-1.5051 -6.6105 1.4807